# Pr5Cd4 | the Alexandria database | PBE-GGA | relaxed
data_Pr5Cd4
_chemical_formula_sum 'Pr10 Cd8'
_symmetry_space_group_name_H-M 'I 4/m'
_symmetry_Int_Tables_number 87
_symmetry_space_group_name_Hall '-I 4'
_cell_length_a 10.1865
_cell_length_b 10.1865
_cell_length_c 5.0837
_cell_angle_alpha 90.00
_cell_angle_beta 90.00
_cell_angle_gamma 90.00
loop_
_atom_site_label
_atom_site_fract_x
_atom_site_fract_y
_atom_site_fract_z
Pr1 0.0000 0.0000 0.0000
Pr2 0.1489 0.1947 0.5000
Cd1 0.0171 0.3492 0.0000
# Volume (Å³ per cell): 527.5
# DFT formation energy (meV per atom): -155
# Calculated density (kg/m³): 7267
# Energy (eV/cell): -57.91
# Size of the total moment (μB/atom): 0.0000

=====

# KEr2Lu | the Alexandria database | PBE-GGA | relaxed
data_KEr2Lu
_chemical_formula_sum 'K3 Er6 Lu3'
_symmetry_space_group_name_H-M 'R -3 m'
_symmetry_Int_Tables_number 166
_symmetry_space_group_name_Hall '-R 3 2"'
_cell_length_a 3.5252
_cell_length_b 3.5252
_cell_length_c 39.3462
_cell_angle_alpha 90.00
_cell_angle_beta 90.00
_cell_angle_gamma 120.00
loop_
_atom_site_label
_atom_site_fract_x
_atom_site_fract_y
_atom_site_fract_z
K1 0.0000 0.0000 0.0000
Er1 0.0000 0.0000 0.0968
Lu1 0.0000 0.0000 0.5000
# Volume (Å³ per cell): 423.4
# DFT formation energy (meV per atom): 255
# Calculated density (kg/m³): 6454
# Energy (eV/cell): -41.18
# Size of the total moment (μB/atom): 0.0000

=====

# Sm6YHo | the Alexandria database | PBE-GGA | relaxed
data_Sm6YHo
_chemical_formula_sum 'Sm6 Y1 Ho1'
_symmetry_space_group_name_H-M 'P 4/m m m'
_symmetry_Int_Tables_number 123
_symmetry_space_group_name_Hall '-P 4 2'
_cell_length_a 5.1022
_cell_length_b 5.1022
_cell_length_c 10.2020
_cell_angle_alpha 90.00
_cell_angle_beta 90.00
_cell_angle_gamma 90.00
loop_
_atom_site_label
_atom_site_fract_x
_atom_site_fract_y
_atom_site_fract_z
Sm1 0.0000 0.0000 0.0000
Sm2 0.0000 0.0000 0.5000
Sm3 0.0000 0.5000 0.2490
Y1 0.5000 0.5000 0.5000
Ho1 0.5000 0.5000 0.0000
# Volume (Å³ per cell): 265.6
# DFT formation energy (meV per atom): 18
# Calculated density (kg/m³): 7228
# Energy (eV/cell): -39.21
# Size of the total moment (μB/atom): 0.0000
# ΔE to the lowest computed polymorph (meV per atom): 0

=====

# Ba2TmAlS5 | the Alexandria database | PBE-GGA | relaxed
data_Ba2TmAlS5
_chemical_formula_sum 'Ba8 Tm4 Al4 S20'
_symmetry_space_group_name_H-M 'C m c 21'
_symmetry_Int_Tables_number 36
_symmetry_space_group_name_Hall 'C 2c -2'
_cell_length_a 4.0337
_cell_length_b 18.2176
_cell_length_c 13.0569
_cell_angle_alpha 90.00
_cell_angle_beta 90.00
_cell_angle_gamma 90.00
loop_
_atom_site_label
_atom_site_fract_x
_atom_site_fract_y
_atom_site_fract_z
Ba1 0.0000 0.1195 0.0000
Ba2 0.0000 0.1287 0.6411
Tm1 0.0000 0.2050 0.3435
Al1 0.0000 0.4389 0.7440
S1 0.0000 0.0473 0.3375
S2 0.0000 0.2965 0.9785
S3 0.0000 0.3171 0.6981
S4 0.0000 0.3468 0.3232
S5 0.0000 0.4991 0.5969
# Volume (Å³ per cell): 959.5
# Calculated density (kg/m³): 4367
# Energy (eV/cell): -197.89
# Size of the total moment (μB/atom): 0.0000
# Formation energy (no corrections) (eV per atom): -1.864

=====

# VAgPdPt | the Alexandria database | PBE-GGA | relaxed
data_VAgPdPt
_chemical_formula_sum 'V4 Ag4 Pd4 Pt4'
_symmetry_space_group_name_H-M 'F -4 3 m'
_symmetry_Int_Tables_number 216
_symmetry_space_group_name_Hall 'F -4 2 3'
_cell_length_a 6.3102
_cell_length_b 6.3102
_cell_length_c 6.3102
_cell_angle_alpha 90.00
_cell_angle_beta 90.00
_cell_angle_gamma 90.00
loop_
_atom_site_label
_atom_site_fract_x
_atom_site_fract_y
_atom_site_fract_z
V1 0.0000 0.0000 0.0000
Ag1 0.0000 0.0000 0.5000
Pd1 0.2500 0.2500 0.7500
Pt1 0.2500 0.2500 0.2500
# Volume (Å³ per cell): 251.3
# DFT formation energy (meV per atom): -63
# Calculated density (kg/m³): 12168
# Energy (eV/cell): -93.82
# Size of the total moment (μB/atom): 0.4130

=====

# CsHg10Au2 | the Alexandria database | PBE-GGA | relaxed
data_CsHg10Au2
_chemical_formula_sum 'Cs4 Hg40 Au8'
_symmetry_space_group_name_H-M 'F m m m'
_symmetry_Int_Tables_number 69
_symmetry_space_group_name_Hall '-F 2 2'
_cell_length_a 5.7501
_cell_length_b 15.8861
_cell_length_c 16.3980
_cell_angle_alpha 90.00
_cell_angle_beta 90.00
_cell_angle_gamma 90.00
loop_
_atom_site_label
_atom_site_fract_x
_atom_site_fract_y
_atom_site_fract_z
Cs1 0.0000 0.0000 0.0000
Hg1 0.0000 0.1122 0.3954
Hg2 0.0000 0.1883 0.1710
Hg3 0.2500 0.0000 0.2500
Au1 0.2500 0.2500 0.0000
# Volume (Å³ per cell): 1497.9
# DFT formation energy (meV per atom): -53
# Calculated density (kg/m³): 11231
# Energy (eV/cell): -44.48
# Size of the total moment (μB/atom): 0.0000

=====

# PmAu2Cl6 | the Alexandria database | PBE-GGA | relaxed
data_PmAu2Cl6
_chemical_formula_sum 'Pm4 Au8 Cl24'
_symmetry_space_group_name_H-M 'C 1 2/c 1'
_symmetry_Int_Tables_number 15
_symmetry_space_group_name_Hall '-C 2yc'
_cell_length_a 14.2279
_cell_length_b 12.3471
_cell_length_c 7.2242
_cell_angle_alpha 90.00
_cell_angle_beta 101.53
_cell_angle_gamma 90.00
loop_
_atom_site_label
_atom_site_fract_x
_atom_site_fract_y
_atom_site_fract_z
Pm1 0.0000 0.0867 0.2500
Au1 0.1293 0.3994 0.1159
Cl1 0.0980 0.0779 0.6170
Cl2 0.1235 0.4349 0.4682
Cl3 0.1480 0.2120 0.1783
# Volume (Å³ per cell): 1243.5
# Calculated density (kg/m³): 4015
# Energy (eV/cell): -127.13
# Size of the total moment (μB/atom): 0.0000
# Formation energy (no corrections) (eV per atom): -1.044

=====

# FeHgW | the Alexandria database | PBE-GGA | relaxed
data_FeHgW
_chemical_formula_sum 'Fe1 Hg1 W1'
_symmetry_space_group_name_H-M 'P 3 m 1'
_symmetry_Int_Tables_number 156
_symmetry_space_group_name_Hall 'P 3 -2"'
_cell_length_a 4.4737
_cell_length_b 4.4737
_cell_length_c 2.7745
_cell_angle_alpha 90.00
_cell_angle_beta 90.00
_cell_angle_gamma 120.00
loop_
_atom_site_label
_atom_site_fract_x
_atom_site_fract_y
_atom_site_fract_z
Fe1 0.0000 0.0000 0.0000
Hg1 0.6667 0.3333 0.2958
W1 0.3333 0.6667 0.7636
# Volume (Å³ per cell): 48.1
# DFT formation energy (meV per atom): 676
# Calculated density (kg/m³): 15203
# Energy (eV/cell): -19.69
# Size of the total moment (μB/atom): 0.5651
# ΔE to the lowest computed polymorph (meV per atom): 399

=====

# Rb3Na5Hg | the Alexandria database | PBE-GGA | relaxed
data_Rb3Na5Hg
_chemical_formula_sum 'Rb3 Na5 Hg1'
_symmetry_space_group_name_H-M 'P -6 2 m'
_symmetry_Int_Tables_number 189
_symmetry_space_group_name_Hall 'P -6 -2'
_cell_length_a 9.6536
_cell_length_b 9.6536
_cell_length_c 5.5032
_cell_angle_alpha 90.00
_cell_angle_beta 90.00
_cell_angle_gamma 120.00
loop_
_atom_site_label
_atom_site_fract_x
_atom_site_fract_y
_atom_site_fract_z
Rb1 0.0000 0.6083 0.0000
Na1 0.0000 0.2217 0.5000
Na2 0.3333 0.6667 0.5000
Hg1 0.0000 0.0000 0.0000
# Volume (Å³ per cell): 444.1
# DFT formation energy (meV per atom): -27
# Calculated density (kg/m³): 2138
# Energy (eV/cell): -10.04
# Size of the total moment (μB/atom): 0.0000

=====

# Re4OsRu | the Alexandria database | PBE-GGA | relaxed
data_Re4OsRu
_chemical_formula_sum 'Re8 Os2 Ru2'
_symmetry_space_group_name_H-M 'A m m 2'
_symmetry_Int_Tables_number 38
_symmetry_space_group_name_Hall 'A 2 -2'
_cell_length_a 4.4118
_cell_length_b 2.7677
_cell_length_c 14.4048
_cell_angle_alpha 90.00
_cell_angle_beta 90.00
_cell_angle_gamma 90.00
loop_
_atom_site_label
_atom_site_fract_x
_atom_site_fract_y
_atom_site_fract_z
Re1 0.0000 0.0000 0.0000
Re2 0.0000 0.0000 0.3310
Re3 0.5000 0.0000 0.1095
Re4 0.5000 0.0000 0.7775
Os1 0.5000 0.0000 0.4440
Ru1 0.0000 0.0000 0.6644
# Volume (Å³ per cell): 175.9
# DFT formation energy (meV per atom): -58
# Calculated density (kg/m³): 19564
# Energy (eV/cell): -141.29
# Size of the total moment (μB/atom): 0.0000
# ΔE to the lowest computed polymorph (meV per atom): 0

=====

# BaNa2SeO | the Alexandria database | PBE-GGA | relaxed
data_BaNa2SeO
_chemical_formula_sum 'Ba4 Na8 Se4 O4'
_symmetry_space_group_name_H-M 'C m c m'
_symmetry_Int_Tables_number 63
_symmetry_space_group_name_Hall '-C 2c 2'
_cell_length_a 4.0908
_cell_length_b 13.6833
_cell_length_c 8.1952
_cell_angle_alpha 90.00
_cell_angle_beta 90.00
_cell_angle_gamma 90.00
loop_
_atom_site_label
_atom_site_fract_x
_atom_site_fract_y
_atom_site_fract_z
Ba1 0.0000 0.0352 0.2500
Na1 0.0000 0.3387 0.0550
Se1 0.0000 0.2438 0.7500
O1 0.0000 0.5000 0.0000
# Volume (Å³ per cell): 458.7
# Calculated density (kg/m³): 4029
# Energy (eV/cell): -82.94
# Size of the total moment (μB/atom): 0.0000
# Formation energy (no corrections) (eV per atom): -1.546

=====

# TbSmCuGe | the Alexandria database | PBE-GGA | relaxed
data_TbSmCuGe
_chemical_formula_sum 'Tb4 Sm4 Cu4 Ge4'
_symmetry_space_group_name_H-M 'F -4 3 m'
_symmetry_Int_Tables_number 216
_symmetry_space_group_name_Hall 'F -4 2 3'
_cell_length_a 7.1242
_cell_length_b 7.1242
_cell_length_c 7.1242
_cell_angle_alpha 90.00
_cell_angle_beta 90.00
_cell_angle_gamma 90.00
loop_
_atom_site_label
_atom_site_fract_x
_atom_site_fract_y
_atom_site_fract_z
Tb1 0.0000 0.0000 0.0000
Sm1 0.0000 0.0000 0.5000
Cu1 0.2500 0.2500 0.2500
Ge1 0.2500 0.2500 0.7500
# Volume (Å³ per cell): 361.6
# DFT formation energy (meV per atom): -485
# Calculated density (kg/m³): 8183
# Energy (eV/cell): -80.02
# Size of the total moment (μB/atom): 0.0000

=====

# Dy2SnTe4 | the Alexandria database | PBE-GGA | relaxed
data_Dy2SnTe4
_chemical_formula_sum 'Dy4 Sn2 Te8'
_symmetry_space_group_name_H-M 'C 1 2/m 1'
_symmetry_Int_Tables_number 12
_symmetry_space_group_name_Hall '-C 2y'
_cell_length_a 16.6474
_cell_length_b 4.4074
_cell_length_c 7.6487
_cell_angle_alpha 90.00
_cell_angle_beta 115.68
_cell_angle_gamma 90.00
loop_
_atom_site_label
_atom_site_fract_x
_atom_site_fract_y
_atom_site_fract_z
Dy1 0.2388 0.0000 0.2237
Sn1 0.0000 0.5000 0.5000
Te1 0.1261 0.5000 0.9567
Te2 0.1387 0.0000 0.4840
# Volume (Å³ per cell): 505.8
# Calculated density (kg/m³): 6265
# Energy (eV/cell): -66.28
# Size of the total moment (μB/atom): 0.0000
# Formation energy (no corrections) (eV per atom): -1.052

=====

# ScTcHRh2 | the Alexandria database | PBE-GGA | relaxed
data_ScTcHRh2
_chemical_formula_sum 'Sc1 Tc1 H1 Rh2'
_symmetry_space_group_name_H-M 'P 4/m m m'
_symmetry_Int_Tables_number 123
_symmetry_space_group_name_Hall '-P 4 2'
_cell_length_a 3.9965
_cell_length_b 3.9965
_cell_length_c 3.9960
_cell_angle_alpha 90.00
_cell_angle_beta 90.00
_cell_angle_gamma 90.00
loop_
_atom_site_label
_atom_site_fract_x
_atom_site_fract_y
_atom_site_fract_z
Sc1 0.0000 0.0000 0.0000
Tc1 0.5000 0.5000 0.0000
H1 0.5000 0.5000 0.5000
Rh1 0.0000 0.5000 0.5000
# Volume (Å³ per cell): 63.8
# Calculated density (kg/m³): 9100
# Energy (eV/cell): -36.30
# Size of the total moment (μB/atom): 0.0000

=====

# CsCd4BiAs2 | the Alexandria database | PBE-GGA | relaxed
data_CsCd4BiAs2
_chemical_formula_sum 'Cs1 Cd4 Bi1 As2'
_symmetry_space_group_name_H-M 'P 4/m m m'
_symmetry_Int_Tables_number 123
_symmetry_space_group_name_Hall '-P 4 2'
_cell_length_a 4.6551
_cell_length_b 4.6551
_cell_length_c 11.4833
_cell_angle_alpha 90.00
_cell_angle_beta 90.00
_cell_angle_gamma 90.00
loop_
_atom_site_label
_atom_site_fract_x
_atom_site_fract_y
_atom_site_fract_z
Cs1 0.0000 0.0000 0.0000
Cd1 0.0000 0.5000 0.3221
Bi1 0.0000 0.0000 0.5000
As1 0.5000 0.5000 0.1914
# Volume (Å³ per cell): 248.8
# DFT formation energy (meV per atom): -189
# Calculated density (kg/m³): 6282
# Energy (eV/cell): -19.21
# Size of the total moment (μB/atom): 0.0000

=====

# Nd4HoAl4 | the Alexandria database | PBE-GGA | relaxed
data_Nd4HoAl4
_chemical_formula_sum 'Nd8 Ho2 Al8'
_symmetry_space_group_name_H-M 'P 42/n'
_symmetry_Int_Tables_number 86
_cell_length_a 8.9058
_cell_length_b 8.9058
_cell_length_c 6.0578
_cell_angle_alpha 90.00
_cell_angle_beta 90.00
_cell_angle_gamma 90.00
loop_
_symmetry_equiv_pos_as_xyz
'x,y,z'
'-x,-y,-z'
'-y,x+1/2,z+1/2'
'y,-x+1/2,-z+1/2'
'-x+1/2,-y+1/2,z'
'x+1/2,y+1/2,-z'
'y+1/2,-x,z+1/2'
'-y+1/2,x,-z+1/2'
loop_
_atom_site_label
_atom_site_fract_x
_atom_site_fract_y
_atom_site_fract_z
Nd1 0.0779 0.8238 0.1259
Ho1 0.2500 0.2500 0.7500
Al1 0.0633 0.1598 0.3551
# Volume (Å³ per cell): 480.5
# DFT formation energy (meV per atom): -152
# Calculated density (kg/m³): 5874
# Energy (eV/cell): -79.97
# Size of the total moment (μB/atom): 0.0000

=====

# Tm2GeBi | the Alexandria database | PBE-GGA | relaxed
data_Tm2GeBi
_chemical_formula_sum 'Tm6 Ge3 Bi3'
_symmetry_space_group_name_H-M 'R 3 m'
_symmetry_Int_Tables_number 160
_symmetry_space_group_name_Hall 'R 3 -2"'
_cell_length_a 4.0867
_cell_length_b 4.0867
_cell_length_c 23.2373
_cell_angle_alpha 90.00
_cell_angle_beta 90.00
_cell_angle_gamma 120.00
loop_
_atom_site_label
_atom_site_fract_x
_atom_site_fract_y
_atom_site_fract_z
Tm1 0.0000 0.0000 0.0000
Tm2 0.0000 0.0000 0.1519
Ge1 0.0000 0.0000 0.7441
Bi1 0.0000 0.0000 0.5739
# Volume (Å³ per cell): 336.1
# DFT formation energy (meV per atom): -558
# Calculated density (kg/m³): 9182
# Energy (eV/cell): -59.02
# Size of the total moment (μB/atom): 0.0000
# ΔE to the lowest computed polymorph (meV per atom): 171

=====

# CaMnTc2 | the Alexandria database | PBE-GGA | relaxed
data_CaMnTc2
_chemical_formula_sum 'Ca1 Mn1 Tc2'
_symmetry_space_group_name_H-M 'P 4 m m'
_symmetry_Int_Tables_number 99
_symmetry_space_group_name_Hall 'P 4 -2'
_cell_length_a 3.1044
_cell_length_b 3.1044
_cell_length_c 7.6401
_cell_angle_alpha 90.00
_cell_angle_beta 90.00
_cell_angle_gamma 90.00
loop_
_atom_site_label
_atom_site_fract_x
_atom_site_fract_y
_atom_site_fract_z
Ca1 0.0000 0.0000 0.0000
Mn1 0.5000 0.5000 0.3249
Tc1 0.0000 0.0000 0.5314
Tc2 0.5000 0.5000 0.7113
# Volume (Å³ per cell): 73.6
# DFT formation energy (meV per atom): 325
# Calculated density (kg/m³): 6563
# Energy (eV/cell): -30.60
# Size of the total moment (μB/atom): 1.0667
# ΔE to the lowest computed polymorph (meV per atom): 0

=====

# AlMo2W | the Alexandria database | PBE-GGA | relaxed
data_AlMo2W
_chemical_formula_sum 'Al2 Mo4 W2'
_symmetry_space_group_name_H-M 'C m m 2'
_symmetry_Int_Tables_number 35
_symmetry_space_group_name_Hall 'C 2 -2'
_cell_length_a 3.2028
_cell_length_b 4.4616
_cell_length_c 8.7920
_cell_angle_alpha 90.00
_cell_angle_beta 90.00
_cell_angle_gamma 90.00
loop_
_atom_site_label
_atom_site_fract_x
_atom_site_fract_y
_atom_site_fract_z
Al1 0.0000 0.0000 0.0000
Mo1 0.0000 0.0000 0.5021
Mo2 0.0000 0.5000 0.7540
W1 0.0000 0.5000 0.2490
# Volume (Å³ per cell): 125.6
# DFT formation energy (meV per atom): -41
# Calculated density (kg/m³): 10645
# Energy (eV/cell): -77.04
# Size of the total moment (μB/atom): 0.0000